--- 1 ---
## Tl3ZnSe (PBE-GGA)

Data for crystalline Tl3ZnSe at its relaxed geometry.

Results
Its space group is Pm-3m. The size of the total moment is 0.00 μB/cell.

a b c (Å): 5.327 5.327 5.327
angles (deg): 90.00 90.00 90.00
Positions (direct):
Tl  0.500  0.000  0.000
Se  0.500  0.500  0.500
Tl  0.000  0.500  0.000
Tl  0.000  0.000  0.500
Zn  0.000  0.000  0.000

--- 2 ---
## Tl3ZnSe (PBE-GGA)

Data for crystalline Tl3ZnSe at its relaxed geometry.

Results
Its space group is Pm-3m. The size of the total moment is 0.00 μB/cell.

a b c (Å): 6.104 6.104 6.104
angles (deg): 90.00 90.00 90.00
Positions (direct):
Se  0.000  0.000  0.000
Zn  0.500  0.500  0.500
Tl  0.500  0.000  0.000
Tl  0.000  0.000  0.500
Tl  0.000  0.500  0.000

Stability check: which of them is least stable? 2.

--- 1 ---
## ZrTl2Se (PBE-GGA)

Data for crystalline ZrTl2Se at its relaxed geometry.

Results
Its space group is I-42d. The size of the total moment is 0.00 μB/cell.

a b c (Å): 8.349 8.349 6.611
angles (deg): 50.84 50.84 90.00
Positions (direct):
Zr  0.000  0.000  0.000
Zr  0.750  0.250  0.500
Tl  0.626  0.125  0.250
Se  0.250  0.750  0.500
Tl  0.875  0.876  0.750
Tl  0.124  0.625  0.250
Tl  0.375  0.374  0.750
Se  0.500  0.500  0.000

--- 2 ---
## ZrTl2Se (PBE-GGA)

Data for crystalline ZrTl2Se at its relaxed geometry.

Results
Its space group is I-4m2. The size of the total moment is 0.00 μB/cell.

a b c (Å): 5.775 5.775 5.775
angles (deg): 134.49 134.49 66.32
Positions (direct):
Zr  0.500  0.500  0.000
Se  0.750  0.250  0.500
Tl  0.250  0.750  0.500
Tl  0.000  0.000  0.000

Stability check: which of them is least stable? 1.

--- 1 ---
## ZrTl2Se (PBE-GGA)

Data for crystalline ZrTl2Se at its relaxed geometry.

Results
Its space group is P4/mmm. The size of the total moment is 0.00 μB/cell.

a b c (Å): 4.188 4.188 5.716
angles (deg): 90.00 90.00 90.00
Positions (direct):
Zr  0.500  0.500  0.250
Tl  0.000  0.000  0.497
Tl  0.000  0.000  0.003
Se  0.500  0.500  0.750

--- 2 ---
## ZrTl2Se (PBE-GGA)

Data for crystalline ZrTl2Se at its relaxed geometry.

Results
Its space group is Pmmm. The size of the total moment is 0.00 μB/cell.

a b c (Å): 3.503 4.986 5.590
angles (deg): 90.00 90.00 90.00
Positions (direct):
Tl  0.500  0.500  0.000
Zr  0.500  0.000  0.500
Se  0.000  0.500  0.500
Tl  0.000  0.000  0.000

Stability check: which of them is least stable? 1.